[1]
! Y2ZnSn, optimized geometry, DFT PBE; values from VASP
! - M_tot: 0.0 μB per formula unit
! - Theoretical density: 5.46 Mg/m³
! - SG: No. 122
! - Energy relative to the elements: -0.2198 eV per atom
&SYSTEM
  ibrav = 0, nat = 8, ntyp = 3
/
ATOMIC_SPECIES
Y 88.91 Y.upf
Zn 65.41 Zn.upf
Sn 118.71 Sn.upf
ATOMIC_POSITIONS crystal
Y 0.105 0.625 0.980
Y 0.375 0.355 0.480
Y 0.645 0.125 0.020
Y 0.875 0.895 0.520
Zn 0.000 0.000 0.000
Zn 0.750 0.250 0.500
Sn 0.250 0.750 0.500
Sn 0.500 0.500 0.000
CELL_PARAMETERS angstrom
-3.987 3.987 3.465
3.987 -3.987 3.465
3.987 3.987 -3.465



[2]
! YZn4Sn, optimized geometry, DFT PBE; values from VASP
! - M_tot: 0.0 μB per formula unit
! - Theoretical density: 6.72 Mg/m³
! - SG: No. 216
! - Energy relative to the elements: -0.1683 eV per atom
&SYSTEM
  ibrav = 0, nat = 6, ntyp = 3
/
ATOMIC_SPECIES
Y 88.91 Y.upf
Zn 65.41 Zn.upf
Sn 118.71 Sn.upf
ATOMIC_POSITIONS crystal
Y 0.000 0.000 0.000
Zn 0.375 0.375 0.375
Zn 0.375 0.375 0.876
Zn 0.375 0.876 0.375
Zn 0.876 0.375 0.375
Sn 0.750 0.750 0.750
CELL_PARAMETERS angstrom
0.000 3.871 3.871
3.871 0.000 3.871
3.871 3.871 0.000



[3]
! Y2ZnSn, optimized geometry, DFT PBE; values from VASP
! - M_tot: 0.0 μB per formula unit
! - Theoretical density: 6.04 Mg/m³
! - SG: No. 123
! - Energy relative to the elements: -0.5214 eV per atom
&SYSTEM
  ibrav = 0, nat = 4, ntyp = 3
/
ATOMIC_SPECIES
Y 88.91 Y.upf
Zn 65.41 Zn.upf
Sn 118.71 Sn.upf
ATOMIC_POSITIONS crystal
Y 0.000 0.500 0.000
Y 0.500 0.000 0.000
Zn 0.000 0.000 0.500
Sn 0.500 0.500 0.500
CELL_PARAMETERS angstrom
5.009 0.000 0.000
0.000 5.009 0.000
0.000 0.000 3.966



[4]
! YZnSn2, optimized geometry, DFT PBE; values from VASP
! - M_tot: 0.0 μB per formula unit
! - Theoretical density: 6.92 Mg/m³
! - SG: No. 129
! - Energy relative to the elements: -0.4639 eV per atom
&SYSTEM
  ibrav = 0, nat = 8, ntyp = 3
/
ATOMIC_SPECIES
Y 88.91 Y.upf
Zn 65.41 Zn.upf
Sn 118.71 Sn.upf
ATOMIC_POSITIONS crystal
Y 0.250 0.250 0.249
Y 0.750 0.750 0.751
Zn 0.250 0.750 0.000
Zn 0.750 0.250 0.000
Sn 0.250 0.250 0.816
Sn 0.250 0.750 0.500
Sn 0.750 0.250 0.500
Sn 0.750 0.750 0.184
CELL_PARAMETERS angstrom
4.367 0.000 0.000
0.000 4.367 0.000
0.000 0.000 9.861



[5]
! Y2ZnSn, optimized geometry, DFT PBE; values from VASP
! - M_tot: 0.0 μB per formula unit
! - Theoretical density: 5.79 Mg/m³
! - SG: No. 11
! - Energy relative to the elements: -0.5700 eV per atom
&SYSTEM
  ibrav = 0, nat = 8, ntyp = 3
/
ATOMIC_SPECIES
Y 88.91 Y.upf
Zn 65.41 Zn.upf
Sn 118.71 Sn.upf
ATOMIC_POSITIONS crystal
Y 0.203 0.250 0.423
Y 0.274 0.750 0.065
Y 0.726 0.250 0.935
Y 0.797 0.750 0.577
Zn 0.132 0.250 0.792
Zn 0.868 0.750 0.208
Sn 0.370 0.750 0.712
Sn 0.630 0.250 0.288
CELL_PARAMETERS angstrom
6.048 0.000 0.000
0.000 4.293 0.000
-2.948 0.000 7.999



[6]
! Y2Zn3Sn, optimized geometry, DFT PBE; values from VASP
! - M_tot: 0.0 μB per formula unit
! - Theoretical density: 6.30 Mg/m³
! - SG: No. 69
! - Energy relative to the elements: -0.5002 eV per atom
&SYSTEM
  ibrav = 0, nat = 12, ntyp = 3
/
ATOMIC_SPECIES
Y 88.91 Y.upf
Zn 65.41 Zn.upf
Sn 118.71 Sn.upf
ATOMIC_POSITIONS crystal
Y 0.244 0.756 0.756
Y 0.250 0.250 0.250
Y 0.750 0.750 0.750
Y 0.756 0.244 0.244
Zn 0.161 0.161 0.839
Zn 0.163 0.677 0.323
Zn 0.323 0.837 0.163
Zn 0.677 0.163 0.837
Zn 0.837 0.323 0.677
Zn 0.839 0.839 0.161
Sn 0.334 0.334 0.666
Sn 0.666 0.666 0.334
CELL_PARAMETERS angstrom
0.000 4.544 7.872
3.630 0.000 7.872
3.630 4.544 0.000



[7]
! YZnSn3, optimized geometry, DFT PBE; values from VASP
! - M_tot: 0.0 μB per formula unit
! - Theoretical density: 4.26 Mg/m³
! - SG: No. 221
! - Energy relative to the elements: 0.5905 eV per atom
&SYSTEM
  ibrav = 0, nat = 5, ntyp = 3
/
ATOMIC_SPECIES
Y 88.91 Y.upf
Zn 65.41 Zn.upf
Sn 118.71 Sn.upf
ATOMIC_POSITIONS crystal
Y 0.000 0.000 0.000
Zn 0.500 0.500 0.500
Sn 0.000 0.000 0.500
Sn 0.000 0.500 0.000
Sn 0.500 0.000 0.000
CELL_PARAMETERS angstrom
5.838 0.000 0.000
0.000 5.838 0.000
0.000 0.000 5.838



[8]
! YZnSn3, optimized geometry, DFT PBE; values from VASP
! - M_tot: 0.0 μB per formula unit
! - Theoretical density: 5.97 Mg/m³
! - SG: No. 221
! - Energy relative to the elements: 0.1317 eV per atom
&SYSTEM
  ibrav = 0, nat = 5, ntyp = 3
/
ATOMIC_SPECIES
Y 88.91 Y.upf
Zn 65.41 Zn.upf
Sn 118.71 Sn.upf
ATOMIC_POSITIONS crystal
Y 0.000 0.000 0.000
Zn 0.500 0.500 0.500
Sn 0.000 0.500 0.500
Sn 0.500 0.000 0.500
Sn 0.500 0.500 0.000
CELL_PARAMETERS angstrom
5.218 0.000 0.000
0.000 5.218 0.000
0.000 0.000 5.218



[9]
! YZn2Sn2, optimized geometry, DFT PBE; values from VASP
! - M_tot: 0.0 μB per formula unit
! - Theoretical density: 6.52 Mg/m³
! - SG: No. 139
! - Energy relative to the elements: -0.1944 eV per atom
&SYSTEM
  ibrav = 0, nat = 5, ntyp = 3
/
ATOMIC_SPECIES
Y 88.91 Y.upf
Zn 65.41 Zn.upf
Sn 118.71 Sn.upf
ATOMIC_POSITIONS crystal
Y 0.000 0.000 0.000
Zn 0.250 0.750 0.500
Zn 0.750 0.250 0.500
Sn 0.388 0.388 0.000
Sn 0.612 0.612 0.000
CELL_PARAMETERS angstrom
-2.059 2.059 6.866
2.059 -2.059 6.866
2.059 2.059 -6.866



[10]
! YZnSn2, optimized geometry, DFT PBE; values from VASP
! - M_tot: 0.0 μB per formula unit
! - Theoretical density: 6.91 Mg/m³
! - SG: No. 123
! - Energy relative to the elements: -0.4268 eV per atom
&SYSTEM
  ibrav = 0, nat = 4, ntyp = 3
/
ATOMIC_SPECIES
Y 88.91 Y.upf
Zn 65.41 Zn.upf
Sn 118.71 Sn.upf
ATOMIC_POSITIONS crystal
Y 0.000 0.000 0.000
Zn 0.500 0.500 0.000
Sn 0.000 0.500 0.500
Sn 0.500 0.000 0.500
CELL_PARAMETERS angstrom
4.626 0.000 0.000
0.000 4.626 0.000
0.000 0.000 4.401



[11]
! YZn3Sn, optimized geometry, DFT PBE; values from VASP
! - M_tot: 0.0 μB per formula unit
! - Theoretical density: 5.16 Mg/m³
! - SG: No. 221
! - Energy relative to the elements: 0.4001 eV per atom
&SYSTEM
  ibrav = 0, nat = 5, ntyp = 3
/
ATOMIC_SPECIES
Y 88.91 Y.upf
Zn 65.41 Zn.upf
Sn 118.71 Sn.upf
ATOMIC_POSITIONS crystal
Y 0.000 0.000 0.000
Zn 0.000 0.500 0.500
Zn 0.500 0.000 0.500
Zn 0.500 0.500 0.000
Sn 0.500 0.500 0.500
CELL_PARAMETERS angstrom
5.066 0.000 0.000
0.000 5.066 0.000
0.000 0.000 5.066



[12]
! YZnSn2, optimized geometry, DFT PBE; values from VASP
! - M_tot: 0.0 μB per formula unit
! - Theoretical density: 6.51 Mg/m³
! - SG: No. 122
! - Energy relative to the elements: -0.2722 eV per atom
&SYSTEM
  ibrav = 0, nat = 8, ntyp = 3
/
ATOMIC_SPECIES
Y 88.91 Y.upf
Zn 65.41 Zn.upf
Sn 118.71 Sn.upf
ATOMIC_POSITIONS crystal
Y 0.000 0.000 0.000
Y 0.750 0.250 0.500
Zn 0.250 0.750 0.500
Zn 0.500 0.500 0.000
Sn 0.173 0.625 0.048
Sn 0.375 0.423 0.548
Sn 0.577 0.125 0.952
Sn 0.875 0.827 0.452
CELL_PARAMETERS angstrom
-4.018 4.018 3.097
4.018 -4.018 3.097
4.018 4.018 -3.097